(1)
# LiHfC PBE-GGA relaxed
# - ρ (g cm⁻³) = 7.6
# - DOS(E_F) (states/eV per cell) = 4.39
# - volume (Å³/cell) = 172.1
# - total DFT energy (no corrections) (eV per atom) = -7.279
# - E above lowest polymorph (eV per atom) = 0.204
data_LiHfC
_symmetry_space_group_name_H-M 'C m m m'
_symmetry_Int_Tables_number 65
_symmetry_space_group_name_Hall '-C 2 2'
_cell_length_a 6.288
_cell_length_b 8.553
_cell_length_c 3.200
_cell_angle_alpha 90.00
_cell_angle_beta 90.00
_cell_angle_gamma 90.00
loop_
_atom_site_label
_atom_site_type_symbol
_atom_site_fract_x
_atom_site_fract_y
_atom_site_fract_z
_atom_site_occupancy
Li1 Li 0.210 0.000 0.000 1
Hf1 Hf 0.000 0.288 0.500 1
C1 C 0.250 0.250 0.000 1



(2)
# Al2CuAs PBE-GGA relaxed
# - ρ (g cm⁻³) = 5.0
# - DOS(E_F) (states/eV per cell) = 0.54
# - volume (Å³/cell) = 64.0
# - total DFT energy (no corrections) (eV per atom) = -4.005
data_Al2CuAs
_symmetry_space_group_name_H-M 'P 4 m m'
_symmetry_Int_Tables_number 99
_cell_length_a 2.874
_cell_length_b 2.874
_cell_length_c 7.753
_cell_angle_alpha 90.00
_cell_angle_beta 90.00
_cell_angle_gamma 90.00
loop_
_symmetry_equiv_pos_as_xyz
'x,y,z'
'-y,x,z'
'-x,-y,z'
'y,-x,z'
'-x,y,z'
'y,x,z'
'x,-y,z'
'-y,-x,z'
loop_
_atom_site_label
_atom_site_type_symbol
_atom_site_fract_x
_atom_site_fract_y
_atom_site_fract_z
_atom_site_occupancy
Al1 Al 0.000 0.000 0.000 1
Al2 Al 0.500 0.500 0.263 1
Cu1 Cu 0.500 0.500 0.788 1
As1 As 0.000 0.000 0.539 1



(3)
# CrFe3N PBE-GGA relaxed
# - ρ (g cm⁻³) = 5.2
# - DOS(E_F) (states/eV per cell) = 6.61
# - volume (Å³/cell) = 74.0
# - total DFT energy (no corrections) (eV per atom) = -6.529
# - E above lowest polymorph (eV per atom) = 2.107
# - formation energy (no corrections) (eV per atom) = 2.1383
data_CrFe3N
_symmetry_space_group_name_H-M 'P m -3 m'
_symmetry_Int_Tables_number 221
_symmetry_space_group_name_Hall '-P 4 2 3'
_cell_length_a 4.199
_cell_length_b 4.199
_cell_length_c 4.199
_cell_angle_alpha 90.00
_cell_angle_beta 90.00
_cell_angle_gamma 90.00
loop_
_atom_site_label
_atom_site_type_symbol
_atom_site_fract_x
_atom_site_fract_y
_atom_site_fract_z
_atom_site_occupancy
Cr1 Cr 0.000 0.000 0.000 1
Fe1 Fe 0.000 0.000 0.500 1
N1 N 0.500 0.500 0.500 1



(4)
# Sc6In5Ga PBE-GGA relaxed
# - ρ (g cm⁻³) = 5.8
# - DOS(E_F) (states/eV per cell) = 15.38
# - volume (Å³/cell) = 526.0
# - total DFT energy (no corrections) (eV per atom) = -5.007
data_Sc6In5Ga
_symmetry_space_group_name_H-M 'C m m m'
_symmetry_Int_Tables_number 65
_symmetry_space_group_name_Hall '-C 2 2'
_cell_length_a 4.505
_cell_length_b 13.504
_cell_length_c 8.645
_cell_angle_alpha 90.00
_cell_angle_beta 90.00
_cell_angle_gamma 90.00
loop_
_atom_site_label
_atom_site_type_symbol
_atom_site_fract_x
_atom_site_fract_y
_atom_site_fract_z
_atom_site_occupancy
Sc1 Sc 0.000 0.000 0.240 1
Sc2 Sc 0.000 0.336 0.245 1
In1 In 0.000 0.166 0.000 1
In2 In 0.000 0.167 0.500 1
In3 In 0.000 0.500 0.500 1
Ga1 Ga 0.000 0.500 0.000 1



(5)
# LaSn2B PBE-GGA relaxed
# - ρ (g cm⁻³) = 6.8
# - DOS(E_F) (states/eV per cell) = 2.96
# - volume (Å³/cell) = 379.1
# - total DFT energy (no corrections) (eV per atom) = -4.901
data_LaSn2B
_symmetry_space_group_name_H-M 'I -4 2 d'
_symmetry_Int_Tables_number 122
_symmetry_space_group_name_Hall 'I -4 2bw'
_cell_length_a 7.706
_cell_length_b 7.706
_cell_length_c 6.385
_cell_angle_alpha 90.00
_cell_angle_beta 90.00
_cell_angle_gamma 90.00
loop_
_atom_site_label
_atom_site_type_symbol
_atom_site_fract_x
_atom_site_fract_y
_atom_site_fract_z
_atom_site_occupancy
La1 La 0.000 0.000 0.000 1
Sn1 Sn 0.160 0.750 0.625 1
B1 B 0.000 0.000 0.500 1



(6)
# Pm2ZnGe4Ru3 PBE-GGA relaxed
# - ρ (g cm⁻³) = 8.5
# - DOS(E_F) (states/eV per cell) = 8.18
# - volume (Å³/cell) = 186.4
# - total DFT energy (no corrections) (eV per atom) = -6.182
data_Pm2ZnGe4Ru3
_symmetry_space_group_name_H-M 'P -4 m 2'
_symmetry_Int_Tables_number 115
_cell_length_a 4.229
_cell_length_b 4.229
_cell_length_c 10.423
_cell_angle_alpha 90.00
_cell_angle_beta 90.00
_cell_angle_gamma 90.00
loop_
_symmetry_equiv_pos_as_xyz
'x,y,z'
'y,-x,-z'
'-x,-y,z'
'-y,x,-z'
'-x,y,z'
'-y,-x,-z'
'x,-y,z'
'y,x,-z'
loop_
_atom_site_label
_atom_site_type_symbol
_atom_site_fract_x
_atom_site_fract_y
_atom_site_fract_z
_atom_site_occupancy
Pm1 Pm 0.000 0.500 0.242 1
Zn1 Zn 0.000 0.000 0.500 1
Ge1 Ge 0.000 0.000 0.000 1
Ge2 Ge 0.000 0.500 0.639 1
Ge3 Ge 0.500 0.500 0.000 1
Ru1 Ru 0.000 0.500 0.876 1
Ru2 Ru 0.500 0.500 0.500 1